Entry 1:
Computed, not measured: a relaxed MnSe2Cl crystal at the GGA-PBEsol level of DFT.

Offset from the most stable computed form (kcal/mol of atoms): 14.172
Magnetization (μB per cell): 3.6
Symmetry: F-43m

Geometry as POSCAR:
```
MnSe2Cl
1.0
4.685 0.000 0.000
2.343 4.057 0.000
2.343 1.352 3.825
Mn Se Cl
1 2 1
Direct
0.250 0.250 0.250
0.000 0.000 0.000
0.750 0.750 0.750
0.500 0.500 0.500
```

---

Entry 2:
Computed, not measured: a relaxed TaPIrO2 crystal at the GGA-PBEsol level of DFT.

Magnetization (μB per cell): 1.4
Uncorrected energy (eV/atom): -7.610
Symmetry: P4/mmm

Geometry as POSCAR:
```
TaPIrO2
1.0
3.605 0.000 0.000
0.000 3.605 0.000
0.000 0.000 7.507
P Ir O Ta
1 1 2 1
Direct
0.000 0.000 0.500
0.000 0.000 0.000
0.000 0.500 0.000
0.500 0.000 0.000
0.500 0.500 0.500
```

---

Entry 3:
Computed, not measured: a relaxed LiCoTc2As crystal at the GGA-PBEsol level of DFT.

Formation energy (kcal/mol of atoms): 27.3
Magnetization (μB per cell): 2.9
Symmetry: P4/mmm

Geometry as POSCAR:
```
LiCoTc2As
1.0
4.117 0.000 0.000
0.000 4.498 0.000
0.000 0.000 4.498
As Co Tc Li
1 1 2 1
Direct
0.000 0.000 0.000
0.500 0.500 0.500
0.000 0.000 0.500
0.000 0.500 0.000
0.500 0.000 0.000
```

---

Entry 4:
Computed, not measured: a relaxed YTlTc crystal at the GGA-PBEsol level of DFT.

Formation energy (kcal/mol of atoms): 11.3
Magnetization (μB per cell): 0.6
Symmetry: F-43m

Geometry as POSCAR:
```
YTlTc
1.0
4.649 0.000 0.000
2.325 4.027 0.000
2.325 1.342 3.796
Tc Tl Y
1 1 1
Direct
0.250 0.250 0.250
0.000 0.000 0.000
0.500 0.500 0.500
```

---

Entry 5:
Computed, not measured: a relaxed Y2PPb crystal at the GGA-PBEsol level of DFT.

Formation energy (kcal/mol of atoms): -19.3
Offset from the most stable computed form (kcal/mol of atoms): 6.741
Magnetization (μB per cell): 0.0
Symmetry: Cm

Geometry as POSCAR:
```
Y2PPb
1.0
-4.013 0.340 0.698
-0.777 -0.622 -4.167
1.775 -5.570 0.949
P Pb Y
1 1 2
Direct
0.483 0.359 0.966
0.277 0.887 0.555
0.004 0.873 0.008
0.736 0.381 0.472
```

---

Entry 6:
Computed, not measured: a relaxed BaBe2Br crystal at the GGA-PBEsol level of DFT.

Offset from the most stable computed form (kcal/mol of atoms): 0.000
Magnetization (μB per cell): 0.0
Symmetry: C2/m

Geometry as POSCAR:
```
BaBe2Br
1.0
-0.082 2.953 -3.332
-2.994 -2.479 -2.123
-3.672 1.062 4.006
Be Ba Br
2 1 1
Direct
0.230 0.499 0.460
0.770 0.501 0.540
0.500 0.000 0.000
0.000 0.500 0.000
```

---

What did the third record say?
Computed, not measured: a relaxed LiCoTc2As crystal at the GGA-PBEsol level of DFT.

Formation energy (kcal/mol of atoms): 27.3
Magnetization (μB per cell): 2.9
Symmetry: P4/mmm

Geometry as POSCAR:
```
LiCoTc2As
1.0
4.117 0.000 0.000
0.000 4.498 0.000
0.000 0.000 4.498
As Co Tc Li
1 1 2 1
Direct
0.000 0.000 0.000
0.500 0.500 0.500
0.000 0.000 0.500
0.000 0.500 0.000
0.500 0.000 0.000
```

---

Q: Which formula does entry 6 have?
A: BaBe2Br